Record 1
ZrTlIn2 PBE relaxed; uncorrected energy = -3.835 eV per atom; crystal system = cubic
1.0
0.000 3.675 3.675
3.675 0.000 3.675
3.675 3.675 0.000
Zr Tl In
1 1 2
direct
0.000 0.000 0.000
0.750 0.750 0.750
0.250 0.250 0.250
0.500 0.500 0.500

Record 2
Tm2In PBE relaxed; uncorrected energy = -2.393 eV per atom; crystal system = cubic
1.0
0.000 6.580 6.580
6.580 0.000 6.580
6.580 6.580 0.000
Tm In
4 2
direct
0.000 0.000 0.000
0.000 0.000 0.500
0.000 0.500 0.000
0.500 0.000 0.000
0.125 0.125 0.125
0.875 0.875 0.875